# 1
A relaxed LaTcPt2Au crystal, computed with PBE.

Calculated values
total DFT energy (no corrections): -5.50 eV/atom
Fermi-level density of states: 5.245 states/eV/f.u.
DFT formation energy: 0.6335 eV per atom
total magnetization: 0.240 μB per atom

a = 5.0389 Å, b = 5.0389 Å, c = 4.7850 Å
α = 90.00°, β = 90.00°, γ = 90.00°
Closest atoms and distances in Å follow each position.
Space group P4/mmm (No. 123)
Asymmetric unit:
1 La 0.0000 0.0000 0.0000  8 Pt 3.47, 4 Tc 3.56
2 Tc 0.5000 0.5000 0.0000  2 Au 2.39
3 Pt 0.0000 0.5000 0.5000  2 Au 2.52
4 Au 0.5000 0.5000 0.5000  2 Tc 2.39, 4 Pt 2.52

# 2
A relaxed Nd11Sm9Tm4 crystal, computed with PBE.

Calculated values
total DFT energy (no corrections): -4.65 eV/atom
Fermi-level density of states: 31.434 states/eV/f.u.
DFT formation energy: 0.0542 eV per atom
total magnetization: 0.000 μB per atom

a = 17.0917 Å, b = 26.1505 Å, c = 3.6755 Å
α = 90.00°, β = 90.00°, γ = 90.00°
Closest atoms and distances in Å follow each position.
Space group Cmmm (No. 65)
Asymmetric unit:
1 Nd 0.0000 0.0000 0.0000  8 Sm 3.58, 2 Nd 3.68
2 Nd 0.0000 0.1630 0.0000  4 Nd 3.68-3.83, 8 Sm 3.77-3.80
3 Nd 0.0000 0.3698 0.0000  4 Tm 3.36, 4 Sm 3.66, 2 Nd 3.68
4 Nd 0.2086 0.5000 0.0000  4 Tm 3.34, 2 Nd 3.68, 4 Sm 3.73
5 Nd 0.2225 0.1806 0.0000  2 Tm 3.43, 6 Sm 3.59-3.74, 4 Nd 3.68-3.83
6 Sm 0.0000 0.5000 0.5000  2 Sm 3.68, 4 Tm 3.80, 8 Nd 3.87-4.01
7 Sm 0.1033 0.2692 0.5000  1 Tm 3.51, 3 Sm 3.53-3.68, 8 Nd 3.59-3.77
8 Sm 0.1395 0.0741 0.5000  1 Tm 3.53, 8 Nd 3.58-3.80, 3 Sm 3.68-3.88
9 Tm 0.1585 0.3984 0.5000  6 Nd 3.34-3.43, 2 Sm 3.51-3.53, 2 Tm 3.68

# 3
A relaxed Hf4MnRh crystal, computed with PBE.

Calculated values
polymorph energy (0 for the lowest one): 0 meV/atom
total DFT energy (no corrections): -9.70 eV/atom
Fermi-level density of states: 8.669 states/eV/f.u.
DFT formation energy: -0.3144 eV per atom
total magnetization: 0.123 μB per atom

a = 3.2564 Å, b = 3.2564 Å, c = 10.3804 Å
α = 90.00°, β = 90.00°, γ = 90.00°
Closest atoms and distances in Å follow each position.
Space group P4/mmm (No. 123)
Asymmetric unit:
1 Hf 0.0000 0.0000 0.1468  4 Mn 2.76, 5 Hf 3.05-3.07
2 Hf 0.5000 0.5000 0.3432  4 Rh 2.82, 4 Hf 3.07
3 Mn 0.5000 0.5000 0.0000  8 Hf 2.76
4 Rh 0.0000 0.0000 0.5000  8 Hf 2.82

# 4
A relaxed NbInTe2N crystal, computed with PBE.

Calculated values
polymorph energy (0 for the lowest one): 1182 meV/atom
ΔE_f (raw): 1.1719 eV/atom
total DFT energy (no corrections): -4.31 eV/atom
Fermi-level density of states: 4.485 states/eV/f.u.
total magnetization: 0.766 μB per atom

a = 5.7229 Å, b = 5.7229 Å, c = 3.9926 Å
α = 90.00°, β = 90.00°, γ = 90.00°
Closest atoms and distances in Å follow each position.
Space group P4/mmm (No. 123)
Asymmetric unit:
1 Nb 0.0000 0.0000 0.0000  8 Te 3.49
2 In 0.5000 0.5000 0.5000  2 N 2.00
3 Te 0.0000 0.5000 0.5000  2 In 2.86
4 N 0.5000 0.5000 0.0000  2 In 2.00